[1]
The following is a DFT calculation (PBE-GGA) of crystalline Er3Mg2CdInGa2 at its relaxed geometry.

The calculation puts the magnetic moment at 0.00 μB per formula unit.

abc: 4.513 7.269 7.269
angles: 120.30 90.00 90.00
Fractional coordinates of all 9 atoms:
Cd 0.000 0.748 0.748
Er 0.500 0.562 0.000
Er 0.500 0.443 0.443
Er 0.500 0.000 0.562
Ga 0.000 0.668 0.330
Ga 0.000 0.330 0.668
In 0.500 0.004 0.004
Mg 0.000 0.998 0.247
Mg 0.000 0.247 0.998

[2]
The following is a DFT calculation (PBE-GGA) of crystalline Nd2Zn5Cu5 at its relaxed geometry.

The energy relative to the elements comes out at -0.285 eV per atom. The calculation puts the magnetic moment at 0.01 μB per formula unit.

abc: 4.195 5.237 8.995
angles: 90.00 90.00 90.00
Fractional coordinates of all 12 atoms:
Cu 0.500 0.000 0.000
Cu 0.000 0.000 0.162
Cu 0.000 0.500 0.334
Cu 0.000 0.500 0.666
Cu 0.000 0.000 0.838
Nd 0.000 0.500 0.000
Nd 0.000 0.000 0.500
Zn 0.500 0.249 0.246
Zn 0.500 0.751 0.246
Zn 0.500 0.500 0.500
Zn 0.500 0.249 0.754
Zn 0.500 0.751 0.754

[3]
The following is a DFT calculation (PBE-GGA) of crystalline GdHoTl2 at its relaxed geometry.

The calculation puts the magnetic moment at 0.12 μB per formula unit.

abc: 3.582 3.582 8.423
angles: 90.00 90.00 90.00
Last column: magnetic moment on the atom in μB.
Fractional coordinates of all 4 atoms:
Gd 0.500 0.500 0.000  -0.01
Ho 0.500 0.500 0.500  0.10
Tl 0.000 0.000 0.253  0.00
Tl 0.000 0.000 0.747  0.00

[4]
The following is a DFT calculation (PBE-GGA) of crystalline GdHfAs at its relaxed geometry.

The calculation puts the magnetic moment at 0.13 μB per formula unit.

abc: 4.662 4.662 4.662
angles: 60.00 60.00 60.00
Fractional coordinates of all 3 atoms:
As 0.000 0.000 0.000
Gd 0.250 0.250 0.250
Hf 0.750 0.750 0.750

[5]
The following is a DFT calculation (PBE-GGA) of crystalline TaCuAgBi at its relaxed geometry.

For the relative energy among the computed polymorphs, the calculation gives 110 meV per atom. The calculation puts the magnetic moment at 1.30 μB per formula unit.

abc: 4.800 4.800 4.800
angles: 60.00 60.00 60.00
Last column: magnetic moment on the atom in μB.
Fractional coordinates of all 4 atoms:
Ag 0.750 0.750 0.750  0.04
Bi 0.000 0.000 0.000  -0.01
Cu 0.250 0.250 0.250  0.04
Ta 0.500 0.500 0.500  0.86

[6]
The following is a DFT calculation (PBE-GGA) of crystalline ScSiPd2 at its relaxed geometry.

The calculation puts the magnetic moment at 0.00 μB per formula unit.

abc: 5.276 6.982 7.031
angles: 90.00 90.00 90.00
Fractional coordinates of all 16 atoms:
Pd 0.598 0.552 0.181
Pd 0.598 0.948 0.181
Pd 0.098 0.052 0.319
Pd 0.098 0.448 0.319
Pd 0.902 0.552 0.681
Pd 0.902 0.948 0.681
Pd 0.402 0.052 0.819
Pd 0.402 0.448 0.819
Sc 0.132 0.750 0.026
Sc 0.632 0.250 0.474
Sc 0.368 0.750 0.526
Sc 0.868 0.250 0.974
Si 0.371 0.250 0.118
Si 0.871 0.750 0.382
Si 0.129 0.250 0.618
Si 0.629 0.750 0.882

[7]
The following is a DFT calculation (PBE-GGA) of crystalline PrAlSiAu2 at its relaxed geometry.

The calculation puts the magnetic moment at 0.01 μB per formula unit.

abc: 4.353 4.353 10.631
angles: 90.00 90.00 90.00
Fractional coordinates of all 10 atoms:
Al 0.000 0.000 0.500
Al 0.500 0.500 0.500
Au 0.000 0.000 0.000
Au 0.500 0.500 0.000
Au 0.500 0.000 0.366
Au 0.000 0.500 0.634
Pr 0.000 0.500 0.240
Pr 0.500 0.000 0.760
Si 0.500 0.000 0.135
Si 0.000 0.500 0.865

[8]
The following is a DFT calculation (PBE-GGA) of crystalline CsPr at its relaxed geometry.

For the relative energy among the computed polymorphs, the calculation gives 0 meV per atom. The calculation puts the magnetic moment at 0.05 μB per formula unit.

abc: 4.684 4.684 4.684
angles: 90.00 90.00 90.00
Fractional coordinates of all 2 atoms:
Cs 0.000 0.000 0.000
Pr 0.500 0.500 0.500

[9]
The following is a DFT calculation (PBE-GGA) of crystalline Cs4UC8S8N8 at its relaxed geometry.

The calculation puts the magnetic moment at 2.00 μB per formula unit.

abc: 11.904 11.904 11.137
angles: 90.00 90.00 90.00
Fractional coordinates of all 58 atoms:
C 0.669 0.525 0.002
C 0.975 0.669 0.002
C 0.525 0.831 0.002
C 0.831 0.975 0.002
C 0.342 0.007 0.360
C 0.007 0.158 0.360
C 0.493 0.342 0.360
C 0.158 0.493 0.360
C 0.842 0.507 0.640
C 0.507 0.658 0.640
C 0.993 0.842 0.640
C 0.658 0.993 0.640
C 0.169 0.025 0.998
C 0.475 0.169 0.998
C 0.025 0.331 0.998
C 0.331 0.475 0.998
Cs 0.608 0.084 0.253
Cs 0.892 0.416 0.253
Cs 0.416 0.608 0.253
Cs 0.084 0.892 0.253
Cs 0.916 0.108 0.747
Cs 0.584 0.392 0.747
Cs 0.108 0.584 0.747
Cs 0.392 0.916 0.747
N 0.198 0.088 0.075
N 0.412 0.198 0.075
N 0.088 0.302 0.075
N 0.302 0.412 0.075
N 0.321 0.092 0.309
N 0.092 0.179 0.309
N 0.408 0.321 0.309
N 0.179 0.408 0.309
N 0.821 0.592 0.691
N 0.592 0.679 0.691
N 0.908 0.821 0.691
N 0.679 0.908 0.691
N 0.698 0.588 0.925
N 0.912 0.698 0.925
N 0.588 0.802 0.925
N 0.802 0.912 0.925
S 0.873 0.064 0.103
S 0.627 0.436 0.103
S 0.064 0.627 0.103
S 0.436 0.873 0.103
S 0.889 0.129 0.425
S 0.611 0.371 0.425
S 0.129 0.611 0.425
S 0.371 0.889 0.425
S 0.629 0.111 0.575
S 0.871 0.389 0.575
S 0.389 0.629 0.575
S 0.111 0.871 0.575
S 0.564 0.127 0.897
S 0.936 0.373 0.897
S 0.373 0.564 0.897
S 0.127 0.936 0.897
U 0.250 0.250 0.192
U 0.750 0.750 0.808

[10]
The following is a DFT calculation (PBE-GGA) of crystalline Na2In4CuPd at its relaxed geometry.

abc: 7.937 5.622 5.622
angles: 45.70 90.00 90.00
Fractional coordinates of all 8 atoms:
Cu 0.000 0.717 0.717
In 0.195 0.144 0.144
In 0.805 0.144 0.144
In 0.300 0.856 0.856
In 0.700 0.856 0.856
Na 0.000 0.432 0.432
Na 0.500 0.568 0.568
Pd 0.500 0.283 0.283

[11]
The following is a DFT calculation (PBE-GGA) of crystalline NdGd2Mg3CdGa2 at its relaxed geometry.

The calculation puts the magnetic moment at 0.00 μB per formula unit.

abc: 4.531 7.469 7.469
angles: 120.45 90.00 90.00
Fractional coordinates of all 9 atoms:
Cd 0.000 0.995 0.995
Ga 0.500 0.670 0.333
Ga 0.500 0.333 0.670
Gd 0.000 0.572 0.001
Gd 0.000 0.001 0.572
Mg 0.500 0.999 0.248
Mg 0.500 0.752 0.752
Mg 0.500 0.248 0.999
Nd 0.000 0.430 0.430

[12]
The following is a DFT calculation (PBE-GGA) of crystalline CsRe2 at its relaxed geometry.

For the relative energy among the computed polymorphs, the calculation gives 3779 meV per atom. The calculation puts the magnetic moment at 6.02 μB per formula unit.

abc: 8.754 8.754 8.754
angles: 60.00 60.00 60.00
Last column: magnetic moment on the atom in μB.
Fractional coordinates of all 6 atoms:
Cs 0.250 0.250 0.250  -0.04
Cs 0.500 0.500 0.500  -0.04
Re 0.375 0.375 0.375  2.56
Re 0.375 0.875 0.375  2.56
Re 0.875 0.375 0.375  2.48
Re 0.375 0.375 0.875  2.56

| no. | raw total energy (eV per atom) |
| --- | --- |
| 1 | -3.405 |
| 2 | -3.155 |
| 3 | -3.833 |
| 4 | -6.841 |
| 5 | -4.860 |
| 6 | -6.467 |
| 7 | -4.815 |
| 8 | -1.923 |
| 9 | -6.818 |
| 10 | -3.026 |
| 11 | -3.294 |
| 12 | -2.901 |